# ZrZnIn, optimized geometry, DFT PBE
data_ZrZnIn
_chemical_formula_sum 'Zr1 Zn1 In1'
_cell_length_a 4.5679
_cell_length_b 4.5679
_cell_length_c 3.3052
_cell_angle_alpha 90.00
_cell_angle_beta 90.00
_cell_angle_gamma 120.00
_symmetry_space_group_name_H-M 'P -6 m 2'
_symmetry_Int_Tables_number 187
_symmetry_space_group_name_Hall 'P -6 2'
loop_
_atom_site_label
_atom_site_fract_x
_atom_site_fract_y
_atom_site_fract_z
Zr1 0.0000 0.0000 0.0000
Zn1 0.6667 0.3333 0.5000
In1 0.3333 0.6667 0.5000
# - Calculated volume: 60 Å³/cell
# - N(E_F): 1.51 states/eV/f.u.
# - Magnetization: 0.00 Bohr magnetons per cell
# - Crystal system: hexagonal
# - Uncorrected energy: -13.30 eV/cell


# ZrZnIn, optimized geometry, DFT PBE
data_ZrZnIn
_chemical_formula_sum 'Zr2 Zn2 In2'
_cell_length_a 4.237
_cell_length_b 4.331
_cell_length_c 6.854
_cell_angle_alpha 90.00
_cell_angle_beta 107.78
_cell_angle_gamma 90.00
_symmetry_space_group_name_H-M 'P 1 2/m 1'
_symmetry_Int_Tables_number 10
loop_
_symmetry_equiv_pos_as_xyz
'x,y,z'
'-x,-y,-z'
'-x,y,-z'
'x,-y,z'
loop_
_atom_site_label
_atom_site_fract_x
_atom_site_fract_y
_atom_site_fract_z
Zr1 0.155 0.000 0.309
Zn1 0.000 0.500 0.000
Zn2 0.500 0.000 0.000
In1 0.337 0.500 0.673
# - Calculated volume: 120 Å³/cell
# - N(E_F): 1.71 states/eV/f.u.
# - Magnetization: 0.00 Bohr magnetons per cell
# - Crystal system: monoclinic
# - Uncorrected energy: -26.84 eV/cell


What did the first record say?
# ZrZnIn, optimized geometry, DFT PBE
data_ZrZnIn
_chemical_formula_sum 'Zr1 Zn1 In1'
_cell_length_a 4.5679
_cell_length_b 4.5679
_cell_length_c 3.3052
_cell_angle_alpha 90.00
_cell_angle_beta 90.00
_cell_angle_gamma 120.00
_symmetry_space_group_name_H-M 'P -6 m 2'
_symmetry_Int_Tables_number 187
_symmetry_space_group_name_Hall 'P -6 2'
loop_
_atom_site_label
_atom_site_fract_x
_atom_site_fract_y
_atom_site_fract_z
Zr1 0.0000 0.0000 0.0000
Zn1 0.6667 0.3333 0.5000
In1 0.3333 0.6667 0.5000
# - Calculated volume: 60 Å³/cell
# - N(E_F): 1.51 states/eV/f.u.
# - Magnetization: 0.00 Bohr magnetons per cell
# - Crystal system: hexagonal
# - Uncorrected energy: -13.30 eV/cell


Copy entry 2 word for word.
# ZrZnIn, optimized geometry, DFT PBE
data_ZrZnIn
_chemical_formula_sum 'Zr2 Zn2 In2'
_cell_length_a 4.237
_cell_length_b 4.331
_cell_length_c 6.854
_cell_angle_alpha 90.00
_cell_angle_beta 107.78
_cell_angle_gamma 90.00
_symmetry_space_group_name_H-M 'P 1 2/m 1'
_symmetry_Int_Tables_number 10
loop_
_symmetry_equiv_pos_as_xyz
'x,y,z'
'-x,-y,-z'
'-x,y,-z'
'x,-y,z'
loop_
_atom_site_label
_atom_site_fract_x
_atom_site_fract_y
_atom_site_fract_z
Zr1 0.155 0.000 0.309
Zn1 0.000 0.500 0.000
Zn2 0.500 0.000 0.000
In1 0.337 0.500 0.673
# - Calculated volume: 120 Å³/cell
# - N(E_F): 1.71 states/eV/f.u.
# - Magnetization: 0.00 Bohr magnetons per cell
# - Crystal system: monoclinic
# - Uncorrected energy: -26.84 eV/cell